[1]
Below is a relaxed structure of BaYPb2, with properties calculated at the PBE-GGA level.

a = 4.586 Å, b = 3.705 Å, c = 8.666 Å
α = 64.57°, β = 90.00°, γ = 90.00°
Fractional coordinates of all 4 atoms:
Pb 0.000 0.962 0.039
Pb 0.000 0.538 0.461
Y 0.500 0.250 0.250
Ba 0.500 0.750 0.750

Output
- Symmetry: No. 10
- ΔH_f (0 K): -2.01 eV per formula unit
- Total DFT energy (no corrections): -0.1637 hartree per atom
- Crystal system: monoclinic
- Calculated volume: 133.00 Å³ per cell

---

[2]
Below is a relaxed structure of ZrAlMo, with properties calculated at the PBE-GGA level.

a = 5.112 Å, b = 5.121 Å, c = 5.121 Å
α = 140.45°, β = 140.41°, γ = 57.23°
Each line ends with the local moment (μB).
Fractional coordinates of all 3 atoms:
Mo 0.342 0.342 0.999  0.12
Al 0.987 0.987 0.000  0.00
Zr 0.671 0.670 0.001  0.05

Output
- Symmetry: No. 8
- Energy above the most stable polymorph in this dataset: 168 meV/atom
- ΔH_f (0 K): -0.54 eV per formula unit
- Total DFT energy (no corrections): -0.2899 hartree per atom
- Crystal system: monoclinic
- Calculated volume: 53.94 Å³ per cell

---

[3]
Below is a relaxed structure of AlSb2S6, with properties calculated at the PBE-GGA level.

a = 5.966 Å, b = 5.966 Å, c = 11.442 Å
α = 90.00°, β = 90.00°, γ = 90.00°
Fractional coordinates of all 18 atoms:
Al 0.000 0.000 0.000
Al 0.500 0.500 0.500
Sb 0.000 0.000 0.334
Sb 0.500 0.500 0.834
Sb 0.500 0.500 0.166
Sb 0.000 0.000 0.666
S 0.313 0.313 0.343
S 0.687 0.687 0.343
S 0.187 0.813 0.843
S 0.813 0.187 0.843
S 0.187 0.813 0.157
S 0.813 0.187 0.157
S 0.313 0.313 0.657
S 0.687 0.687 0.657
S 0.296 0.296 0.000
S 0.704 0.704 0.000
S 0.204 0.796 0.500
S 0.796 0.204 0.500

Output
- Symmetry: No. 136
- Total DFT energy (no corrections): -0.1566 hartree per atom
- Crystal system: tetragonal
- Formation energy from raw total energies: -0.177 eV per atom
- Calculated volume: 407.24 Å³ per cell

---

[4]
Below is a relaxed structure of PmSm2AgTe5, with properties calculated at the PBE-GGA level.

a = 4.388 Å, b = 9.718 Å, c = 13.359 Å
α = 90.00°, β = 90.00°, γ = 103.05°
Fractional coordinates of all 18 atoms:
Pm 0.807 0.615 0.508
Pm 0.193 0.385 0.008
Sm 0.875 0.750 0.804
Sm 0.111 0.222 0.685
Sm 0.125 0.250 0.304
Sm 0.889 0.778 0.185
Ag 0.567 0.133 0.961
Ag 0.433 0.867 0.461
Te 0.360 0.720 0.999
Te 0.691 0.381 0.836
Te 0.498 0.997 0.779
Te 0.287 0.574 0.673
Te 0.959 0.919 0.579
Te 0.640 0.280 0.499
Te 0.309 0.619 0.336
Te 0.502 0.003 0.279
Te 0.713 0.426 0.173
Te 0.041 0.081 0.079

Output
- Symmetry: No. 36
- Total DFT energy (no corrections): -0.1762 hartree per atom
- Crystal system: orthorhombic
- Formation energy from raw total energies: -1.156 eV per atom
- Calculated volume: 554.92 Å³ per cell

---

> Look up the calculated volume of the second one.

53.94 Å³ per cell